The following is a DFT calculation (PBE) of crystalline TiVRe at its relaxed geometry.

## Properties
The calculation puts the formation energy at 61 kJ/mol of formula units.

a b c (Å): 4.178 5.154 9.384
angles (deg): 90.00 90.00 90.00
Element x y z (fractional)
1 Ti 0.250 0.405 0.209
2 Ti 0.250 0.095 0.709
3 Ti 0.750 0.595 0.791
4 Ti 0.750 0.905 0.291
5 Re 0.250 0.131 0.426
6 Re 0.250 0.369 0.926
7 Re 0.750 0.631 0.074
8 Re 0.750 0.869 0.574
9 V 0.750 0.123 0.963
10 V 0.750 0.377 0.463
11 V 0.250 0.877 0.037
12 V 0.250 0.623 0.537

The following is a DFT calculation (PBE) of crystalline Ti4VRe2 at its relaxed geometry.

## Properties
The calculation puts the formation energy at 484 kJ/mol of formula units.

a b c (Å): 4.416 4.416 7.078
angles (deg): 71.82 71.82 90.00
Element x y z (fractional)
1 Re 0.623 0.623 0.754
2 Re 0.377 0.377 0.246
3 V 0.000 0.000 0.000
4 Ti 0.808 0.808 0.385
5 Ti 0.500 0.000 0.000
6 Ti 0.000 0.500 0.000
7 Ti 0.192 0.192 0.615

The following is a DFT calculation (PBE) of crystalline TiV6Re at its relaxed geometry.

## Properties
The calculation puts the formation energy at -79 kJ/mol of formula units.

a b c (Å): 4.280 5.258 5.258
angles (deg): 109.04 90.00 90.00
Element x y z (fractional)
1 V 0.500 0.375 0.123
2 V 0.000 0.115 0.366
3 V 0.000 0.622 0.378
4 V 0.500 0.877 0.625
5 V 0.500 0.871 0.129
6 V 0.000 0.634 0.885
7 Ti 0.500 0.380 0.620
8 Re 0.000 0.126 0.874

The following is a DFT calculation (PBE) of crystalline Ti2VRe at its relaxed geometry.

## Properties
The calculation puts the formation energy at 163 kJ/mol of formula units.

a b c (Å): 6.953 6.953 5.589
angles (deg): 51.54 51.54 90.00
Element x y z (fractional)
1 V 0.500 0.500 0.000
2 V 0.250 0.750 0.500
3 Ti 0.875 0.879 0.750
4 Ti 0.629 0.125 0.250
5 Ti 0.121 0.625 0.250
6 Ti 0.375 0.371 0.750
7 Re 0.000 0.000 0.000
8 Re 0.750 0.250 0.500

The following is a DFT calculation (PBE) of crystalline TiVRe at its relaxed geometry.

## Properties
The calculation puts the formation energy at 108 kJ/mol of formula units.

a b c (Å): 4.244 4.244 5.943
angles (deg): 90.00 90.00 90.00
Last column: magnetic moment on the atom in μB.
Element x y z (fractional)
1 Re 0.772 0.599 0.486  -0.07
2 Re 0.772 0.599 0.986  -0.07
3 V 0.773 0.099 0.736  0.43
4 V 0.272 0.599 0.236  0.43
5 Ti 0.772 0.099 0.236  0.03
6 Ti 0.272 0.599 0.736  0.03

The following is a DFT calculation (PBE) of crystalline Ti8V2Re at its relaxed geometry.

## Properties
The calculation puts the formation energy at 76 kJ/mol of formula units.

a b c (Å): 5.163 7.019 7.019
angles (deg): 45.76 96.74 96.74
Element x y z (fractional)
1 Ti 0.160 0.810 0.810
2 Ti 0.607 0.652 0.168
3 Ti 0.393 0.348 0.832
4 Ti 0.607 0.168 0.652
5 Ti 0.917 0.598 0.598
6 Ti 0.083 0.402 0.402
7 Ti 0.393 0.832 0.348
8 Ti 0.840 0.190 0.190
9 V 0.649 0.749 0.749
10 V 0.351 0.251 0.251
11 Re 0.000 0.000 0.000

The following is a DFT calculation (PBE) of crystalline TiVRe2 at its relaxed geometry.

## Properties
The calculation puts the formation energy at 182 kJ/mol of formula units.

a b c (Å): 6.934 6.934 5.572
angles (deg): 51.52 51.52 90.00
Element x y z (fractional)
1 Ti 0.250 0.750 0.500
2 Ti 0.500 0.500 0.000
3 Re 0.108 0.625 0.250
4 Re 0.875 0.892 0.750
5 Re 0.642 0.125 0.250
6 Re 0.375 0.358 0.750
7 V 0.000 0.000 0.000
8 V 0.750 0.250 0.500

The following is a DFT calculation (PBE) of crystalline TiV3Re at its relaxed geometry.

## Properties
The calculation puts the formation energy at 666 kJ/mol of formula units.

a b c (Å): 4.282 4.282 4.282
angles (deg): 90.00 90.00 90.00
Element x y z (fractional)
1 V 0.000 0.500 0.000
2 V 0.500 0.000 0.000
3 V 0.000 0.000 0.500
4 Re 0.500 0.500 0.500
5 Ti 0.000 0.000 0.000

The following is a DFT calculation (PBE) of crystalline TiV2Re at its relaxed geometry.

## Properties
The calculation puts the formation energy at -92 kJ/mol of formula units.

a b c (Å): 3.066 4.310 5.124
angles (deg): 114.83 107.41 90.00
Element x y z (fractional)
1 Re 0.500 0.000 0.000
2 V 0.761 0.761 0.522
3 V 0.239 0.239 0.478
4 Ti 0.000 0.500 0.000

The following is a DFT calculation (PBE) of crystalline TiV2Re at its relaxed geometry.

## Properties
The calculation puts the formation energy at 163 kJ/mol of formula units.

a b c (Å): 6.892 6.892 5.541
angles (deg): 51.54 51.54 90.00
Element x y z (fractional)
1 Ti 0.500 0.500 0.000
2 Ti 0.250 0.750 0.500
3 Re 0.000 0.000 0.000
4 Re 0.750 0.250 0.500
5 V 0.875 0.894 0.750
6 V 0.644 0.125 0.250
7 V 0.375 0.356 0.750
8 V 0.106 0.625 0.250

The following is a DFT calculation (PBE) of crystalline TiV2Re2 at its relaxed geometry.

## Properties
The calculation puts the formation energy at 62 kJ/mol of formula units.

a b c (Å): 7.343 7.343 2.837
angles (deg): 90.00 90.00 90.00
Last column: magnetic moment on the atom in μB.
Element x y z (fractional)
1 Ti 0.000 0.000 0.000  0.43
2 Ti 0.500 0.500 0.000  0.43
3 V 0.356 0.856 0.000  0.18
4 V 0.856 0.644 0.000  0.18
5 V 0.644 0.144 0.000  0.18
6 V 0.144 0.356 0.000  0.18
7 Re 0.656 0.844 0.500  -0.03
8 Re 0.844 0.344 0.500  -0.03
9 Re 0.344 0.156 0.500  -0.03
10 Re 0.156 0.656 0.500  -0.03

The following is a DFT calculation (PBE) of crystalline TiV2Re at its relaxed geometry.

## Properties
The calculation puts the formation energy at -70 kJ/mol of formula units.

a b c (Å): 3.061 4.335 4.335
angles (deg): 90.00 90.00 90.00
Element x y z (fractional)
1 Re 0.500 0.500 0.500
2 V 0.000 0.000 0.500
3 V 0.000 0.500 0.000
4 Ti 0.500 0.000 0.000

The following is a DFT calculation (PBE) of crystalline TiV2Re at its relaxed geometry.

## Properties
The calculation puts the formation energy at -72 kJ/mol of formula units.

a b c (Å): 3.042 3.042 6.287
angles (deg): 90.00 90.00 90.00
Element x y z (fractional)
1 Ti 0.500 0.500 0.000
2 V 0.000 0.000 0.736
3 V 0.000 0.000 0.264
4 Re 0.500 0.500 0.500

The following is a DFT calculation (PBE) of crystalline Ti2VRe4 at its relaxed geometry.

## Properties
The calculation puts the formation energy at 106 kJ/mol of formula units.

a b c (Å): 4.341 4.341 6.658
angles (deg): 109.03 109.03 90.00
Element x y z (fractional)
1 Re 0.886 0.386 0.771
2 Re 0.114 0.614 0.229
3 Re 0.614 0.114 0.229
4 Re 0.386 0.886 0.771
5 V 0.000 0.000 0.000
6 Ti 0.256 0.256 0.512
7 Ti 0.744 0.744 0.488

The following is a DFT calculation (PBE) of crystalline Ti2V2Re at its relaxed geometry.

## Properties
The calculation puts the formation energy at 83 kJ/mol of formula units.

a b c (Å): 6.582 6.582 3.572
angles (deg): 90.00 90.00 90.00
Element x y z (fractional)
1 Re 0.500 0.500 0.000
2 Re 0.000 0.000 0.000
3 V 0.641 0.141 0.000
4 V 0.859 0.641 0.000
5 V 0.359 0.859 0.000
6 V 0.141 0.359 0.000
7 Ti 0.167 0.667 0.500
8 Ti 0.333 0.167 0.500
9 Ti 0.833 0.333 0.500
10 Ti 0.667 0.833 0.500

The following is a DFT calculation (PBE) of crystalline Ti2V2Re at its relaxed geometry.

## Properties
The calculation puts the formation energy at -97 kJ/mol of formula units.

a b c (Å): 4.370 10.396 4.371
angles (deg): 115.00 120.00 90.00
Element x y z (fractional)
1 Ti 0.398 0.347 0.796
2 Ti 0.602 0.153 0.204
3 Ti 0.398 0.847 0.796
4 Ti 0.602 0.653 0.204
5 Re 0.000 0.250 0.000
6 Re 0.000 0.750 0.000
7 V 0.186 0.530 0.372
8 V 0.814 0.470 0.628
9 V 0.186 0.030 0.372
10 V 0.814 0.970 0.628

The following is a DFT calculation (PBE) of crystalline Ti4VRe5 at its relaxed geometry.

## Properties
The calculation puts the formation energy at -383 kJ/mol of formula units.

a b c (Å): 3.100 3.100 15.518
angles (deg): 90.00 90.00 90.00
Element x y z (fractional)
1 Re 0.500 0.500 0.500
2 Re 0.500 0.500 0.905
3 Re 0.500 0.500 0.298
4 Re 0.500 0.500 0.095
5 Re 0.500 0.500 0.702
6 Ti 0.000 0.000 0.399
7 Ti 0.000 0.000 0.601
8 Ti 0.000 0.000 0.802
9 Ti 0.000 0.000 0.198
10 V 0.000 0.000 0.000

The following is a DFT calculation (PBE) of crystalline TiV3Re at its relaxed geometry.

## Properties
The calculation puts the formation energy at 532 kJ/mol of formula units.

a b c (Å): 4.565 4.565 4.565
angles (deg): 90.00 90.00 90.00
Last column: magnetic moment on the atom in μB.
Element x y z (fractional)
1 V 0.000 0.500 0.000  0.41
2 V 0.000 0.000 0.500  0.41
3 V 0.500 0.000 0.000  0.41
4 Ti 0.500 0.500 0.500  0.29
5 Re 0.000 0.000 0.000  -0.09

The following is a DFT calculation (PBE) of crystalline Ti3VRe3 at its relaxed geometry.

## Properties
The calculation puts the formation energy at -65 kJ/mol of formula units.

a b c (Å): 6.130 6.130 6.124
angles (deg): 90.00 90.00 89.45
Element x y z (fractional)
1 Re 0.745 0.745 0.500
2 Re 0.251 0.749 0.500
3 Re 0.749 0.251 0.500
4 Re 0.739 0.261 0.000
5 Re 0.255 0.255 0.500
6 Re 0.261 0.739 0.000
7 Ti 0.000 0.000 0.753
8 Ti 0.500 0.000 0.754
9 Ti 0.000 0.000 0.247
10 Ti 0.500 0.000 0.246
11 Ti 0.000 0.500 0.754
12 Ti 0.000 0.500 0.246
13 V 0.500 0.500 0.745
14 V 0.500 0.500 0.255

The following is a DFT calculation (PBE) of crystalline TiV2Re3 at its relaxed geometry.

## Properties
The calculation puts the formation energy at -227 kJ/mol of formula units.

a b c (Å): 3.061 3.061 9.225
angles (deg): 90.00 90.00 90.00
Element x y z (fractional)
1 Re 0.000 0.000 0.326
2 Re 0.000 0.000 0.674
3 Re 0.000 0.000 0.000
4 V 0.500 0.500 0.835
5 V 0.500 0.500 0.165
6 Ti 0.500 0.500 0.500

The following is a DFT calculation (PBE) of crystalline TiVRe at its relaxed geometry.

## Properties
The calculation puts the formation energy at -82 kJ/mol of formula units.

a b c (Å): 2.768 4.296 4.296
angles (deg): 120.00 90.00 90.00
Element x y z (fractional)
1 Re 0.680 0.333 0.667
2 Ti 0.344 0.667 0.333
3 V 0.977 0.000 0.000

The following is a DFT calculation (PBE) of crystalline TiVRe3 at its relaxed geometry.

## Properties
The calculation puts the formation energy at 608 kJ/mol of formula units.

a b c (Å): 4.467 4.467 4.467
angles (deg): 90.00 90.00 90.00
Element x y z (fractional)
1 Re 0.000 0.500 0.000
2 Re 0.500 0.000 0.000
3 Re 0.000 0.000 0.500
4 Ti 0.500 0.500 0.500
5 V 0.000 0.000 0.000

The following is a DFT calculation (PBE) of crystalline Ti5VRe4 at its relaxed geometry.

## Properties
The calculation puts the formation energy at -281 kJ/mol of formula units.

a b c (Å): 3.125 3.125 15.572
angles (deg): 90.00 90.00 90.00
Last column: magnetic moment on the atom in μB.
Element x y z (fractional)
1 Ti 0.500 0.500 0.896  -0.12
2 Ti 0.500 0.500 0.699  -0.03
3 Ti 0.500 0.500 0.104  -0.12
4 Ti 0.500 0.500 0.301  -0.03
5 Ti 0.500 0.500 0.500  0.00
6 Re 0.000 0.000 0.198  0.00
7 Re 0.000 0.000 0.400  -0.01
8 Re 0.000 0.000 0.600  -0.01
9 Re 0.000 0.000 0.802  0.00
10 V 0.000 0.000 0.000  -0.71

The following is a DFT calculation (PBE) of crystalline Ti2V6Re at its relaxed geometry.

## Properties
The calculation puts the formation energy at 57 kJ/mol of formula units.

a b c (Å): 2.584 7.692 7.903
angles (deg): 119.12 74.04 90.00
Last column: magnetic moment on the atom in μB.
Element x y z (fractional)
1 Re 0.000 0.000 0.000  0.01
2 V 0.987 0.664 0.665  0.01
3 V 0.500 0.672 0.000  0.01
4 V 0.013 0.336 0.335  0.01
5 V 0.013 0.998 0.335  0.01
6 V 0.987 0.002 0.665  0.01
7 V 0.500 0.328 0.000  0.01
8 Ti 0.326 0.334 0.669  0.15
9 Ti 0.674 0.666 0.331  0.15

The following is a DFT calculation (PBE) of crystalline TiV3Re at its relaxed geometry.

## Properties
The calculation puts the formation energy at 21 kJ/mol of formula units.

a b c (Å): 4.998 4.716 6.353
angles (deg): 90.00 103.04 90.00
Element x y z (fractional)
1 V 0.552 0.750 0.366
2 V 0.500 0.500 0.000
3 V 0.749 0.750 0.729
4 V 0.251 0.250 0.271
5 V 0.500 0.000 0.000
6 V 0.448 0.250 0.634
7 Re 0.173 0.750 0.588
8 Re 0.827 0.250 0.412
9 Ti 0.007 0.750 0.146
10 Ti 0.993 0.250 0.854